Record 1
DFT (PBE) results for a relaxed structure of Pr3PuH.

a = 5.134 Å, b = 5.134 Å, c = 5.134 Å
α = 90.00°, β = 90.00°, γ = 90.00°
Fractional positions:
Pu (0.500, 0.500, 0.500)
Pr (0.000, 0.500, 0.000)
Pr (0.000, 0.000, 0.500)
Pr (0.500, 0.000, 0.000)
H (0.000, 0.000, 0.000)

Summary:
Theoretical density = 8196 kg/m³
Energy = -6.46 eV per atom

=====

Record 2
DFT (PBE) results for a relaxed structure of Pr4PuH10.

a = 3.882 Å, b = 3.882 Å, c = 16.028 Å
α = 83.04°, β = 83.04°, γ = 60.00°
Fractional positions:
Pr (0.200, 0.200, 0.399)
Pr (0.601, 0.601, 0.197)
Pr (0.800, 0.800, 0.601)
Pr (0.399, 0.399, 0.803)
H (0.850, 0.850, 0.450)
H (0.952, 0.952, 0.145)
H (0.749, 0.749, 0.752)
H (0.551, 0.551, 0.348)
H (0.150, 0.150, 0.550)
H (0.348, 0.348, 0.955)
H (0.048, 0.048, 0.855)
H (0.652, 0.652, 0.045)
H (0.449, 0.449, 0.652)
H (0.251, 0.251, 0.248)
Pu (0.000, 0.000, 0.000)

Summary:
Theoretical density = 6554 kg/m³
Energy = -5.04 eV per atom

=====

Record 3
DFT (PBE) results for a relaxed structure of Pr2PuH.

a = 3.359 Å, b = 3.359 Å, c = 8.573 Å
α = 90.00°, β = 90.00°, γ = 90.00°
Fractional positions:
Pu (0.500, 0.500, 0.500)
Pr (0.000, 0.000, 0.806)
Pr (0.000, 0.000, 0.194)
H (0.500, 0.500, 0.000)

Summary:
Theoretical density = 9043 kg/m³
Energy = -6.64 eV per atom